[1]
An optimized crystal structure of ScTlOs2. Source: Alexandria via LeMat-Bulk, functional PBE.

a = 6.5462 Å, b = 6.5462 Å, c = 6.5462 Å
α = 90.00°, β = 90.00°, γ = 90.00°
Fractional coordinates of all 16 atoms:
Sc1 0.0000 0.0000 0.0000
Sc2 0.0000 0.5000 0.5000
Sc3 0.5000 0.0000 0.5000
Sc4 0.5000 0.5000 0.0000
Tl1 0.2500 0.2500 0.2500
Tl2 0.2500 0.7500 0.7500
Tl3 0.7500 0.2500 0.7500
Tl4 0.7500 0.7500 0.2500
Os1 0.0000 0.0000 0.5000
Os2 0.0000 0.5000 0.0000
Os3 0.2500 0.2500 0.7500
Os4 0.2500 0.7500 0.2500
Os5 0.5000 0.0000 0.0000
Os6 0.5000 0.5000 0.5000
Os7 0.7500 0.2500 0.2500
Os8 0.7500 0.7500 0.7500

## Properties
The value obtained for the density of states at the Fermi level is 20.65 states/eV per cell. Its total magnetic moment is 1.3 μB per formula unit. The calculated total energy is -116.4 eV/cell. Its formation enthalpy at 0 K is 0.513 eV per atom. The space group is F-43m, No. 216.



[2]
An optimized crystal structure of TaNiBiSe3. Source: Alexandria via LeMat-Bulk, functional PBE.

a = 9.5718 Å, b = 3.5245 Å, c = 9.8590 Å
α = 90.00°, β = 118.66°, γ = 90.00°
Fractional coordinates of all 12 atoms:
Ta1 0.0328 0.2500 0.2027
Ta2 0.9672 0.7500 0.7973
Ni1 0.0339 0.7500 0.4178
Ni2 0.9661 0.2500 0.5822
Bi1 0.4813 0.2500 0.8609
Bi2 0.5187 0.7500 0.1391
Se1 0.1576 0.2500 0.0089
Se2 0.1663 0.7500 0.6933
Se3 0.2457 0.7500 0.3604
Se4 0.7543 0.2500 0.6396
Se5 0.8337 0.2500 0.3067
Se6 0.8424 0.7500 0.9911

## Properties
The value obtained for the density of states at the Fermi level is 4.78 states/eV per cell. Its total magnetic moment is 0.0 μB per formula unit. The calculated total energy is -69.6 eV/cell. The space group is P2_1/m, No. 11.



[3]
An optimized crystal structure of NaCa6Mg2. Source: Alexandria via LeMat-Bulk, functional PBE.

a = 8.5244 Å, b = 8.5244 Å, c = 12.4909 Å
α = 118.14°, β = 118.14°, γ = 25.33°
Fractional coordinates of all 9 atoms:
Na1 0.0000 0.0000 0.0000
Ca1 0.0408 0.0408 0.7292
Ca2 0.2277 0.2277 0.1131
Ca3 0.3422 0.3422 0.4484
Ca4 0.6578 0.6578 0.5516
Ca5 0.7723 0.7723 0.8869
Ca6 0.9592 0.9592 0.2708
Mg1 0.3596 0.3596 0.7316
Mg2 0.6404 0.6404 0.2684

## Properties
The value obtained for the density of states at the Fermi level is 9.94 states/eV per cell. Its total magnetic moment is 0.0 μB per formula unit. The calculated total energy is -15.9 eV/cell. Its formation enthalpy at 0 K is 0.068 eV per atom. The space group is C2/m, No. 12.